[1]
DFT (GGA-PBE) results for a relaxed Y2AlZn3Cu4 crystal.

The value obtained for the uncorrected energy is -3.97 eV/atom. Its formation energy from the elements is -28 kJ per mole of atoms. The theoretical density is 6328 kg/m3.

The structure belongs to space group P-4m2 (No. 115); the cell edges are 3.9443, 3.9443 and 11.0515 Å and the angles 90.00°, 90.00° and 90.00°. The asymmetric unit holds Y at (0.0000, 0.5000, 0.2501), Al at (0.0000, 0.0000, 0.5000), Zn at (0.0000, 0.5000, 0.8638), Zn at (0.5000, 0.5000, 0.5000), Cu at (0.0000, 0.0000, 0.0000), Cu at (0.0000, 0.5000, 0.6419) and Cu at (0.5000, 0.5000, 0.0000).

[2]
DFT (GGA-PBE) results for a relaxed Cu2TcW2 crystal.

The value obtained for the uncorrected energy is -8.09 eV/atom. Its formation energy from the elements is 78 kJ per mole of atoms. The theoretical density is 12871 kg/m3.

The structure belongs to space group I4/mmm (No. 139); the cell edges are 3.6966, 3.6966 and 11.1928 Å and the angles 90.00°, 90.00° and 90.00°. The asymmetric unit holds Cu at (0.0000, 0.0000, 0.0962), Tc at (0.0000, 0.0000, 0.5000) and W at (0.0000, 0.5000, 0.2500).

[3]
DFT (GGA-PBE) results for a relaxed TaV2Os crystal.

The value obtained for the uncorrected energy is -10.64 eV/atom. Its formation energy from the elements is -30 kJ per mole of atoms. The theoretical density is 13297 kg/m3.

The structure belongs to space group I-4m2 (No. 119); the cell edges are 4.3734, 4.3734 and 6.1774 Å and the angles 90.00°, 90.00° and 90.00°. The asymmetric unit holds Ta at (0.0000, 0.0000, 0.0000), V at (0.0000, 0.0000, 0.5000), V at (0.0000, 0.5000, 0.7500) and Os at (0.0000, 0.5000, 0.2500).

[4]
DFT (GGA-PBE) results for a relaxed TlNiSbI2 crystal.

The value obtained for the uncorrected energy is -2.06 eV/atom. The theoretical density is 4785 kg/m3. The formation energy without anion corrections comes out at 1.0116 eV per atom.

The structure belongs to space group P4/mmm (No. 123); the cell edges are 6.1599, 6.1599 and 5.8405 Å and the angles 90.00°, 90.00° and 90.00°. The asymmetric unit holds Tl at (0.0000, 0.0000, 0.0000), Ni at (0.5000, 0.5000, 0.5000), Sb at (0.0000, 0.0000, 0.5000) and I at (0.0000, 0.5000, 0.0000).

Which of these has the lowest theoretical density?
TlNiSbI2